# 1
Entry from Alexandria via LeMat-Bulk: a geometry-optimized Er3TmS structure (PBE).

## Properties
As for the space-group type: Pm-3m, No. 221. For the uncorrected formation energy, the calculation gives -3.1 eV per formula unit.

```
Er3TmS
1.0
5.234 0.000 0.000
0.000 5.234 0.000
0.000 0.000 5.234
Er Tm S
3 1 1
direct
0.000 0.000 0.500 Er
0.500 0.000 0.000 Er
0.000 0.500 0.000 Er
0.500 0.500 0.500 Tm
0.000 0.000 0.000 S
```


# 2
Entry from Alexandria via LeMat-Bulk: a geometry-optimized Al3Ir structure (PBE).

## Properties
As for the space-group type: Pm-3n, No. 223. The formation energy comes out at -0.562 eV per atom.

```
Al3Ir
1.0
7.809 0.000 0.000
0.000 7.809 0.000
0.000 0.000 7.809
Al Ir
24 8
direct
0.337 0.500 0.800 Al
0.200 0.663 0.500 Al
0.000 0.163 0.700 Al
0.200 0.337 0.500 Al
0.163 0.700 0.000 Al
0.800 0.663 0.500 Al
0.837 0.300 0.000 Al
0.663 0.500 0.200 Al
0.300 0.000 0.163 Al
0.800 0.337 0.500 Al
0.300 0.000 0.837 Al
0.500 0.200 0.663 Al
0.337 0.500 0.200 Al
0.700 0.000 0.163 Al
0.500 0.200 0.337 Al
0.837 0.700 0.000 Al
0.500 0.800 0.663 Al
0.663 0.500 0.800 Al
0.000 0.837 0.700 Al
0.163 0.300 0.000 Al
0.000 0.837 0.300 Al
0.700 0.000 0.837 Al
0.000 0.163 0.300 Al
0.500 0.800 0.337 Al
0.000 0.000 0.000 Ir
0.250 0.000 0.500 Ir
0.500 0.250 0.000 Ir
0.000 0.500 0.750 Ir
0.000 0.500 0.250 Ir
0.500 0.500 0.500 Ir
0.500 0.750 0.000 Ir
0.750 0.000 0.500 Ir
```


# 3
Entry from Alexandria via LeMat-Bulk: a geometry-optimized Fe4As12Pb structure (PBE).

## Properties
As for the space-group type: Im-3, No. 204. The formation energy comes out at -0.144 eV per atom.

```
Fe4As12Pb
1.0
6.861 0.000 -2.426
-3.431 5.942 -2.426
0.000 0.000 7.278
As Fe Pb
12 4 1
direct
0.344 0.189 0.845 As
0.155 0.344 0.499 As
0.501 0.845 0.656 As
0.344 0.499 0.155 As
0.811 0.155 0.656 As
0.155 0.656 0.811 As
0.656 0.811 0.155 As
0.656 0.501 0.845 As
0.499 0.155 0.344 As
0.845 0.656 0.501 As
0.189 0.845 0.344 As
0.845 0.344 0.189 As
0.000 0.500 0.000 Fe
0.500 0.000 0.000 Fe
0.000 0.000 0.500 Fe
0.500 0.500 0.500 Fe
0.000 0.000 0.000 Pb
```


# 4
Entry from Alexandria via LeMat-Bulk: a geometry-optimized AcHo3Rh structure (PBE).

## Properties
As for the space-group type: Pm-3m, No. 221. The formation energy comes out at -0.304 eV per atom.

```
AcHo3Rh
1.0
5.463 0.000 0.000
0.000 5.463 0.000
0.000 0.000 5.463
Ho Ac Rh
3 1 1
direct
0.000 0.000 0.500 Ho
0.500 0.000 0.000 Ho
0.000 0.500 0.000 Ho
0.500 0.500 0.500 Ac
0.000 0.000 0.000 Rh
```


# 5
Entry from Alexandria via LeMat-Bulk: a geometry-optimized Mg2PBr structure (PBE).

## Properties
As for the space-group type: Cmmm, No. 65. For the uncorrected formation energy, the calculation gives -2.0 eV per formula unit.

```
Mg2PBr
1.0
-0.772 -3.040 2.092
3.645 0.877 -0.402
-0.359 4.274 6.080
P Mg Br
1 2 1
direct
0.500 0.500 0.250 P
0.000 0.000 0.048 Mg
0.000 0.000 0.452 Mg
0.500 0.500 0.750 Br
```


# 6
Entry from Alexandria via LeMat-Bulk: a geometry-optimized CsThAg2Se4 structure (PBE).

## Properties
As for the space-group type: I222, No. 23. For the uncorrected formation energy, the calculation gives -6.0 eV per formula unit.

```
CsThAg2Se4
1.0
7.034 0.000 0.000
3.517 6.051 0.158
3.517 0.653 6.018
Cs Ag Th Se
1 2 1 4
direct
0.000 0.000 0.000 Cs
0.831 0.669 0.669 Ag
0.169 0.331 0.331 Ag
0.500 0.500 0.500 Th
0.095 0.890 0.482 Se
0.533 0.482 0.890 Se
0.467 0.110 0.518 Se
0.905 0.518 0.110 Se
```


# 7
Entry from Alexandria via LeMat-Bulk: a geometry-optimized PuSc2Cd6 structure (PBE).

## Properties
As for the space-group type: P6/mmm, No. 191. The formation energy comes out at -0.177 eV per atom.

```
PuSc2Cd6
1.0
3.127 -0.001 0.000
-0.001 7.521 4.325
-0.002 0.015 8.676
Cd Sc Pu
6 2 1
direct
0.501 0.338 0.000 Cd
0.500 0.338 0.662 Cd
0.501 0.000 0.338 Cd
0.499 0.662 0.000 Cd
0.499 0.000 0.662 Cd
0.500 0.662 0.338 Cd
0.000 0.333 0.333 Sc
0.000 0.667 0.667 Sc
0.000 0.000 0.000 Pu
```


# 8
Entry from Alexandria via LeMat-Bulk: a geometry-optimized TbAl2GaPd4 structure (PBE).

## Properties
As for the space-group type: R-3m, No. 166. The formation energy comes out at -0.803 eV per atom.

```
TbAl2GaPd4
1.0
4.315 0.000 0.000
2.157 3.737 0.000
2.157 1.246 8.507
Pd Al Ga Tb
4 2 1 1
direct
0.867 0.867 0.398 Pd
0.599 0.599 0.203 Pd
0.133 0.133 0.602 Pd
0.401 0.401 0.797 Pd
0.757 0.757 0.728 Al
0.243 0.243 0.272 Al
0.500 0.500 0.500 Ga
0.000 0.000 0.000 Tb
```


# 9
Entry from Alexandria via LeMat-Bulk: a geometry-optimized Ac2La4Pr structure (PBE).

## Properties
As for the space-group type: I4/mmm, No. 139. The formation energy comes out at 0.512 eV per atom.

```
Ac2La4Pr
1.0
-3.127 1.642 -4.632
-1.359 -5.565 -1.056
-5.289 2.780 8.219
La Pr Ac
4 1 2
direct
0.825 0.825 0.650 La
0.000 0.500 0.000 La
0.175 0.175 0.350 La
0.500 0.000 0.000 La
0.000 0.000 0.000 Pr
0.374 0.374 0.749 Ac
0.626 0.626 0.251 Ac
```


# 10
Entry from Alexandria via LeMat-Bulk: a geometry-optimized BaTaTe structure (PBE).

## Properties
As for the space-group type: F-43m, No. 216. For the uncorrected formation energy, the calculation gives 3.6 eV per formula unit.

```
BaTaTe
1.0
5.585 0.000 0.000
2.792 4.837 0.000
2.792 1.612 4.560
Ba Ta Te
1 1 1
direct
0.750 0.750 0.750 Ba
0.000 0.000 0.000 Ta
0.500 0.500 0.500 Te
```


# 11
Entry from Alexandria via LeMat-Bulk: a geometry-optimized ReSiSe2 structure (PBE).

## Properties
As for the space-group type: Cmm2, No. 35. For the uncorrected formation energy, the calculation gives 1.9 eV per formula unit.

```
ReSiSe2
1.0
-0.578 -1.893 2.243
1.001 -1.105 -2.594
8.972 0.906 3.077
Se Si Re
2 1 1
direct
0.500 0.500 0.306 Se
0.000 0.000 0.941 Se
0.000 0.000 0.522 Si
0.500 0.500 0.731 Re
```


# 12
Entry from Alexandria via LeMat-Bulk: a geometry-optimized Pm2DyCd4 structure (PBE).

## Properties
As for the space-group type: I4/mmm, No. 139. The formation energy comes out at -0.168 eV per atom.

```
Pm2DyCd4
1.0
5.096 0.000 -1.624
-0.518 5.069 -1.624
-0.243 -0.269 8.044
Pm Cd Dy
2 4 1
direct
0.259 0.259 0.519 Pm
0.741 0.741 0.481 Pm
0.611 0.111 0.222 Cd
0.111 0.611 0.222 Cd
0.889 0.389 0.778 Cd
0.389 0.889 0.778 Cd
0.000 0.000 0.000 Dy
```